# YTl4Te PBE-GGA relaxed
# - E_tot (eV/cell) = -19.0
# - raw formation energy (kJ/mol of formula units) = 10
# - calculated volume (Å³/f.u.) = 180.08
# - space-group type = F-43m (216)
data_YTl4Te
_chemical_formula_sum 'Y1 Tl4 Te1'
_space_group_name_H-M_alt 'P 1'
_space_group_IT_number 1
_cell_length_a 6.3386
_cell_length_b 6.3386
_cell_length_c 6.3386
_cell_angle_alpha 60.00
_cell_angle_beta 60.00
_cell_angle_gamma 60.00
loop_
_space_group_symop_operation_xyz
'x,y,z'
loop_
_atom_site_label
_atom_site_fract_x
_atom_site_fract_y
_atom_site_fract_z
Y1 0.0000 0.0000 0.0000
Tl1 0.3747 0.3747 0.3747
Tl2 0.3747 0.3747 0.8758
Tl3 0.3747 0.8758 0.3747
Tl4 0.8758 0.3747 0.3747
Te1 0.7500 0.7500 0.7500

---

# Hg2C PBE-GGA relaxed
# - E_tot (eV/cell) = -11.2
# - distance to the lowest polymorph of the same formula (meV per atom) = 940
# - calculated volume (Å³/f.u.) = 58.78
# - space-group type = P4_2/mnm (136)
# - energy of formation from the pure elements (meV/atom) = 1412
data_Hg2C
_chemical_formula_sum 'Hg4 C2'
_space_group_name_H-M_alt 'P 1'
_space_group_IT_number 1
_cell_length_a 5.7578
_cell_length_b 5.7578
_cell_length_c 3.5463
_cell_angle_alpha 90.00
_cell_angle_beta 90.00
_cell_angle_gamma 90.00
loop_
_space_group_symop_operation_xyz
'x,y,z'
loop_
_atom_site_label
_atom_site_fract_x
_atom_site_fract_y
_atom_site_fract_z
Hg1 0.2126 0.2126 0.0000
Hg2 0.2874 0.7126 0.5000
Hg3 0.7126 0.2874 0.5000
Hg4 0.7874 0.7874 0.0000
C1 0.0000 0.0000 0.5000
C2 0.5000 0.5000 0.0000

---

# PmScP2 PBE-GGA relaxed
# - E_tot (eV/cell) = -25.7
# - distance to the lowest polymorph of the same formula (meV per atom) = 533
# - calculated volume (Å³/f.u.) = 80.55
# - space-group type = Fm-3m (225)
# - energy of formation from the pure elements (meV/atom) = -959
data_PmScP2
_chemical_formula_sum 'Pm1 Sc1 P2'
_space_group_name_H-M_alt 'P 1'
_space_group_IT_number 1
_cell_length_a 4.8476
_cell_length_b 4.8476
_cell_length_c 4.8476
_cell_angle_alpha 60.00
_cell_angle_beta 60.00
_cell_angle_gamma 60.00
loop_
_space_group_symop_operation_xyz
'x,y,z'
loop_
_atom_site_label
_atom_site_fract_x
_atom_site_fract_y
_atom_site_fract_z
Pm1 0.0000 0.0000 0.0000
Sc1 0.5000 0.5000 0.5000
P1 0.2500 0.2500 0.2500
P2 0.7500 0.7500 0.7500

---

# SrHoBS4 PBE-GGA relaxed
# - E_tot (eV/cell) = -80.0
# - raw formation energy (kJ/mol of formula units) = -1017
# - calculated volume (Å³/f.u.) = 147.50
# - space-group type = P2_1/m (11)
data_SrHoBS4
_chemical_formula_sum 'Sr2 Ho2 B2 S8'
_space_group_name_H-M_alt 'P 1'
_space_group_IT_number 1
_cell_length_a 6.1541
_cell_length_b 6.3002
_cell_length_c 7.9712
_cell_angle_alpha 90.00
_cell_angle_beta 107.35
_cell_angle_gamma 90.00
loop_
_space_group_symop_operation_xyz
'x,y,z'
loop_
_atom_site_label
_atom_site_fract_x
_atom_site_fract_y
_atom_site_fract_z
Sr1 0.2205 0.2500 0.4289
Sr2 0.7795 0.7500 0.5711
Ho1 0.2708 0.2500 0.9471
Ho2 0.7292 0.7500 0.0529
B1 0.2819 0.7500 0.1876
B2 0.7181 0.2500 0.8124
S1 0.0932 0.7500 0.3474
S2 0.1055 0.7500 0.9401
S3 0.4837 0.5090 0.2334
S4 0.4837 0.9910 0.2334
S5 0.5163 0.0090 0.7666
S6 0.5163 0.4910 0.7666
S7 0.8945 0.2500 0.0599
S8 0.9068 0.2500 0.6526

---

# Ti2Zn6Au PBE-GGA relaxed
# - E_tot (eV/cell) = -27.9
# - distance to the lowest polymorph of the same formula (meV per atom) = 0
# - calculated volume (Å³/f.u.) = 142.53
# - space-group type = Cmmm (65)
# - energy of formation from the pure elements (meV/atom) = -127
data_Ti2Zn6Au
_chemical_formula_sum 'Ti2 Zn6 Au1'
_space_group_name_H-M_alt 'P 1'
_space_group_IT_number 1
_cell_length_a 6.3729
_cell_length_b 6.3729
_cell_length_c 3.9590
_cell_angle_alpha 90.00
_cell_angle_beta 90.00
_cell_angle_gamma 117.57
loop_
_space_group_symop_operation_xyz
'x,y,z'
loop_
_atom_site_label
_atom_site_fract_x
_atom_site_fract_y
_atom_site_fract_z
Ti1 0.2115 0.7885 0.0000
Ti2 0.7885 0.2115 0.0000
Zn1 0.1660 0.4583 0.5000
Zn2 0.2934 0.2934 0.0000
Zn3 0.4583 0.1660 0.5000
Zn4 0.5417 0.8340 0.5000
Zn5 0.7066 0.7066 0.0000
Zn6 0.8340 0.5417 0.5000
Au1 0.0000 0.0000 0.5000

---

# VAs2PtBr PBE-GGA relaxed
# - E_tot (eV/cell) = -23.1
# - raw formation energy (kJ/mol of formula units) = 291
# - distance to the lowest polymorph of the same formula (meV per atom) = 0
# - calculated volume (Å³/f.u.) = 106.71
# - space-group type = P4/mmm (123)
data_VAs2PtBr
_chemical_formula_sum 'V1 As2 Pt1 Br1'
_space_group_name_H-M_alt 'P 1'
_space_group_IT_number 1
_cell_length_a 4.8227
_cell_length_b 4.8227
_cell_length_c 4.5880
_cell_angle_alpha 90.00
_cell_angle_beta 90.00
_cell_angle_gamma 90.00
loop_
_space_group_symop_operation_xyz
'x,y,z'
loop_
_atom_site_label
_atom_site_fract_x
_atom_site_fract_y
_atom_site_fract_z
V1 0.0000 0.0000 0.0000
As1 0.0000 0.5000 0.0000
As2 0.5000 0.0000 0.0000
Pt1 0.5000 0.5000 0.5000
Br1 0.0000 0.0000 0.5000

---

# AgIrBr2 PBE-GGA relaxed
# - E_tot (eV/cell) = -12.1
# - raw formation energy (kJ/mol of formula units) = 287
# - distance to the lowest polymorph of the same formula (meV per atom) = 567
# - calculated volume (Å³/f.u.) = 78.07
# - space-group type = P4/mmm (123)
data_AgIrBr2
_chemical_formula_sum 'Ag1 Ir1 Br2'
_space_group_name_H-M_alt 'P 1'
_space_group_IT_number 1
_cell_length_a 4.8753
_cell_length_b 4.8753
_cell_length_c 3.2844
_cell_angle_alpha 90.00
_cell_angle_beta 90.00
_cell_angle_gamma 90.00
loop_
_space_group_symop_operation_xyz
'x,y,z'
loop_
_atom_site_label
_atom_site_fract_x
_atom_site_fract_y
_atom_site_fract_z
Ag1 0.0000 0.0000 0.0000
Ir1 0.5000 0.5000 0.0000
Br1 0.0000 0.5000 0.5000
Br2 0.5000 0.0000 0.5000

---

# Ti4CN2 PBE-GGA relaxed
# - E_tot (eV/cell) = -132.3
# - raw formation energy (kJ/mol of formula units) = -838
# - distance to the lowest polymorph of the same formula (meV per atom) = 27
# - calculated volume (Å³/f.u.) = 77.65
# - space-group type = Fdd2 (43)
data_Ti4CN2
_chemical_formula_sum 'Ti8 C2 N4'
_space_group_name_H-M_alt 'P 1'
_space_group_IT_number 1
_cell_length_a 6.0392
_cell_length_b 5.7888
_cell_length_c 7.2302
_cell_angle_alpha 53.91
_cell_angle_beta 50.76
_cell_angle_gamma 75.33
loop_
_space_group_symop_operation_xyz
'x,y,z'
loop_
_atom_site_label
_atom_site_fract_x
_atom_site_fract_y
_atom_site_fract_z
Ti1 0.0255 0.4478 0.8098
Ti2 0.0452 0.9548 0.2821
Ti3 0.4402 0.5331 0.2245
Ti4 0.4478 0.0255 0.7169
Ti5 0.5321 0.9679 0.2952
Ti6 0.5331 0.4402 0.8022
Ti7 0.9548 0.0452 0.7179
Ti8 0.9679 0.5321 0.2048
C1 0.2471 0.2471 0.2529
C2 0.9971 0.9971 0.0029
N1 0.2588 0.7280 0.7443
N2 0.5057 0.9811 0.9912
N3 0.7280 0.2588 0.2689
N4 0.9811 0.5057 0.5220

---

# PmTmCd PBE-GGA relaxed
# - E_tot (eV/cell) = -10.7
# - distance to the lowest polymorph of the same formula (meV per atom) = 0
# - calculated volume (Å³/f.u.) = 85.94
# - space-group type = I4mm (107)
# - energy of formation from the pure elements (meV/atom) = -191
data_PmTmCd
_chemical_formula_sum 'Pm1 Tm1 Cd1'
_space_group_name_H-M_alt 'P 1'
_space_group_IT_number 1
_cell_length_a 7.0436
_cell_length_b 7.0436
_cell_length_c 7.0436
_cell_angle_alpha 150.23
_cell_angle_beta 150.23
_cell_angle_gamma 42.60
loop_
_space_group_symop_operation_xyz
'x,y,z'
loop_
_atom_site_label
_atom_site_fract_x
_atom_site_fract_y
_atom_site_fract_z
Pm1 0.0000 0.0000 0.0000
Tm1 0.3134 0.3134 0.0000
Cd1 0.6666 0.6666 0.0000

---

# Ac2Pm3S8 PBE-GGA relaxed
# - E_tot (eV/cell) = -80.0
# - raw formation energy (kJ/mol of formula units) = -2363
# - distance to the lowest polymorph of the same formula (meV per atom) = 33
# - calculated volume (Å³/f.u.) = 345.41
# - space-group type = Cmmm (65)
data_Ac2Pm3S8
_chemical_formula_sum 'Ac2 Pm3 S8'
_space_group_name_H-M_alt 'P 1'
_space_group_IT_number 1
_cell_length_a 8.7554
_cell_length_b 8.7554
_cell_length_c 4.8027
_cell_angle_alpha 90.00
_cell_angle_beta 90.00
_cell_angle_gamma 110.25
loop_
_space_group_symop_operation_xyz
'x,y,z'
loop_
_atom_site_label
_atom_site_fract_x
_atom_site_fract_y
_atom_site_fract_z
Ac1 0.2358 0.7642 0.0000
Ac2 0.7642 0.2358 0.0000
Pm1 0.2138 0.2138 0.5000
Pm2 0.5000 0.5000 0.0000
Pm3 0.7862 0.7862 0.5000
S1 0.1205 0.8795 0.5000
S2 0.1470 0.3836 0.0000
S3 0.3836 0.1470 0.0000
S4 0.3863 0.6137 0.5000
S5 0.6137 0.3863 0.5000
S6 0.6164 0.8530 0.0000
S7 0.8530 0.6164 0.0000
S8 0.8795 0.1205 0.5000